A relaxed structure of ScCuBr, computed with PBE.

Structure (POSCAR):
```
ScCuBr
1.0
3.958 0.000 -0.011
-1.978 3.428 0.002
-1.920 -1.145 10.653
Cu Sc Br
2 2 2
Cartesian
1.943 1.333 1.919
-0.036 0.190 1.926
-0.034 2.478 0.203
-0.036 2.476 3.643
2.002 -0.952 9.130
-0.031 0.195 5.361
```

Computed properties:
Theoretical density (g cm⁻³): 4.33
Space group: P1 (1)
Relative energy among the computed polymorphs (kJ per mole of atoms): 0.0
Magnetic moment (μB/cell): 0.4
Raw total energy (eV per atom): -4.86

A relaxed structure of BaLiAg2, computed with PBE.

Structure (POSCAR):
```
BaLiAg2
1.0
-4.423 -1.115 1.144
-0.358 -2.128 -3.458
1.893 -5.342 2.113
Ag Li Ba
2 1 1
Cartesian
1.751 -5.290 1.615
-1.859 -1.933 0.595
-0.750 -6.880 0.060
0.631 -3.559 -1.029
```

Computed properties:
Theoretical density (g cm⁻³): 5.21
Formation energy (eV per atom): -0.114
Space group: Pm (6)
Relative energy among the computed polymorphs (kJ per mole of atoms): 12.7
Magnetic moment (μB/cell): 0.0
Raw total energy (eV per atom): -2.50

A relaxed structure of Tl2Bi3Pb4, computed with PBE.

Structure (POSCAR):
```
Tl2Bi3Pb4
1.0
-4.023 5.278 -1.953
-8.344 -4.160 5.945
4.467 1.608 7.395
Pb Bi Tl
8 6 4
Cartesian
-5.050 2.028 9.756
-7.345 -2.473 8.444
-4.861 3.337 0.654
-5.252 2.212 4.544
-0.555 5.199 2.943
-3.039 -0.611 10.733
-2.648 0.514 6.844
-2.850 0.698 1.631
-4.023 -2.313 8.160
-6.183 0.559 1.996
-3.877 5.039 3.227
-6.034 0.326 7.184
-1.865 2.400 4.203
0.000 0.000 0.000
-4.206 -1.517 4.562
1.481 3.181 5.548
-9.380 -0.455 5.839
-3.694 4.243 6.825
```

Computed properties:
Theoretical density (g cm⁻³): 10.02
Formation energy (eV per atom): 0.037
Space group: Cmce (64)
Relative energy among the computed polymorphs (kJ per mole of atoms): 0.3
Magnetic moment (μB/cell): 0.0
Raw total energy (eV per atom): -3.43

A relaxed structure of NbZnAsRh2, computed with PBE.

Structure (POSCAR):
```
NbZnAsRh2
1.0
-4.465 0.578 -0.161
-0.258 -0.751 4.457
0.543 4.405 0.774
Nb Rh As Zn
1 2 1 1
Cartesian
-2.090 2.116 2.535
0.271 2.203 0.387
-2.233 0.289 -0.081
-0.129 -0.376 2.229
0.000 0.000 0.000
```

Computed properties:
Theoretical density (g cm⁻³): 7.93
Formation energy (eV per atom): 0.904
Space group: P4/mmm (123)
Magnetic moment (μB/cell): 0.0
Raw total energy (eV per atom): -5.24